The following is a DFT calculation (GGA-PBE) of a geometry-optimized Li6Mg12Cu structure.

Calculated values
Formation energy (meV per atom): -20.2
Total magnetic moment (μB per formula unit): 0.00
Uncorrected energy (eV/atom): -1.847

POSCAR file:
```
Li6Mg12Cu
1.0
6.7138 3.8762 2.5023
-6.7138 3.8762 2.5023
0.0000 -7.7524 2.5023
Li Mg Cu
6 12 1
Cartesian
-3.5546 -0.3991 2.5511
2.1229 -2.8788 2.5511
-1.4317 -3.2779 4.9557
1.4317 3.2779 2.5511
-2.1229 2.8788 4.9557
3.5546 0.3991 4.9557
-0.3235 -4.7235 2.5146
-3.9289 2.6419 2.5146
-0.7180 -1.6137 2.4683
-4.2524 -2.0816 4.9922
-1.0385 1.4286 2.4683
1.7565 0.1851 2.4683
-1.7565 -0.1851 5.0385
1.0385 -1.4286 5.0385
4.2524 2.0816 2.5146
0.7180 1.6137 5.0385
3.9289 -2.6419 4.9922
0.3235 4.7235 4.9922
0.0000 0.0000 0.0000
```

The following is a DFT calculation (GGA-PBE) of a geometry-optimized LiMg2Cu2 structure.

Calculated values
Energy relative to the lowest polymorph listed for this composition (eV per formula unit): 0.23
Formation energy (meV per atom): -13.6
Total magnetic moment (μB per formula unit): 0.00
Uncorrected energy (eV/atom): -2.673

POSCAR file:
```
LiMg2Cu2
1.0
7.5950 0.0000 0.0000
0.0000 7.5950 0.0000
0.0000 0.0000 2.9384
Li Mg Cu
2 4 4
Cartesian
0.0000 0.0000 0.0000
3.7975 3.7975 0.0000
1.0907 2.7067 0.0000
2.7067 6.5042 0.0000
4.8882 1.0907 0.0000
6.5042 4.8882 0.0000
1.1543 4.9518 1.4692
2.6431 1.1543 1.4692
4.9518 6.4406 1.4692
6.4406 2.6431 1.4692
```

The following is a DFT calculation (GGA-PBE) of a geometry-optimized Li4Mg3Cu2 structure.

Calculated values
Formation energy (meV per atom): -45.8
Total magnetic moment (μB per formula unit): 0.00
Uncorrected energy (eV/atom): -2.338

POSCAR file:
```
Li4Mg3Cu2
1.0
4.5355 0.0000 0.0000
2.2277 4.9570 0.0000
0.0339 1.8858 6.8092
Li Mg Cu
4 3 2
Cartesian
1.1341 1.4791 0.9767
3.3858 5.2274 3.4440
3.4114 1.6153 3.3652
5.6630 5.3636 5.8325
1.1308 3.4214 3.4046
3.3875 3.4980 1.1249
3.4096 3.3447 5.6843
1.1438 1.7753 5.5772
5.6534 5.0674 1.2321
```

The following is a DFT calculation (GGA-PBE) of a geometry-optimized LiMgCu structure.

Calculated values
Energy relative to the lowest polymorph listed for this composition (eV per formula unit): 0.12
Formation energy (meV per atom): -23.1
Total magnetic moment (μB per formula unit): 0.00
Uncorrected energy (eV/atom): -2.558

POSCAR file:
```
LiMgCu
1.0
4.3976 0.0000 0.0000
-2.1988 3.8084 0.0000
0.0000 0.0000 2.8239
Li Mg Cu
1 1 1
Cartesian
0.0000 0.0000 0.0000
0.0000 2.5389 1.0963
2.1988 1.2695 2.2667
```

The following is a DFT calculation (GGA-PBE) of a geometry-optimized LiMgCu structure.

Calculated values
Energy relative to the lowest polymorph listed for this composition (eV per formula unit): 0.57
Formation energy (meV per atom): 126.5
Total magnetic moment (μB per formula unit): 0.00
Uncorrected energy (eV/atom): -2.408

POSCAR file:
```
LiMgCu
1.0
0.0000 3.0799 3.0799
3.0799 0.0000 3.0799
3.0799 3.0799 0.0000
Li Mg Cu
1 1 1
Cartesian
0.0000 0.0000 0.0000
3.0799 3.0799 3.0799
1.5399 1.5399 1.5399
```

The following is a DFT calculation (GGA-PBE) of a geometry-optimized Li2MgCu structure.

Calculated values
Formation energy (meV per atom): -32.3
Total magnetic moment (μB per formula unit): 0.00
Uncorrected energy (eV/atom): -2.412

POSCAR file:
```
Li2MgCu
1.0
3.0981 0.0000 0.0000
0.0000 3.2676 0.0000
-0.1046 0.0000 6.6011
Li Mg Cu
2 1 1
Cartesian
0.0000 0.0000 0.0000
1.5076 1.6338 1.7064
3.0290 0.0000 3.7035
1.4660 1.6338 5.2566
```